## KCr3F9 (PBE with a Hubbard U)

Data for a relaxed structure of KCr3F9.

Cell lengths 7.5236, 7.5236, 3.9973 Å; angles 90.00, 90.00, 120.00 degrees
Space group P6/mmm (No. 191)
One atom of each set of equivalent atoms:
K: 0.0000 0.0000 0.0000 [1 per cell]
Cr: 0.0000 0.5000 0.5000 [3 per cell]
F: 0.0000 0.5000 0.0000 [3 per cell]
F: 0.2016 0.4031 0.5000 [6 per cell]

Summary:
E_tot	-5.844	eV per atom
crystal system	hexagonal